1.
# Na2H2Br, relaxed, DFT PBE
# Energy above the lowest structure with this stoichiometry, meV per atom: 0
# Magnetization, μB/f.u.: 0.0
data_Na2H2Br
_chemical_formula_sum 'Na4 H4 Br2'
_cell_length_a 8.737
_cell_length_b 3.909
_cell_length_c 6.833
_cell_angle_alpha 90.00
_cell_angle_beta 93.88
_cell_angle_gamma 90.00
_symmetry_space_group_name_H-M 'C 1 2/m 1'
_symmetry_Int_Tables_number 12
_symmetry_space_group_name_Hall '-C 2y'
loop_
_atom_site_label
_atom_site_type_symbol
_atom_site_fract_x
_atom_site_fract_y
_atom_site_fract_z
Na1 Na 0.195 0.000 0.243
H1 H 0.045 0.500 0.499
Br1 Br 0.000 0.500 0.000



2.
# Na2HBr, relaxed, DFT PBE
# Energy above the lowest structure with this stoichiometry, meV per atom: 71
# Magnetization, μB/f.u.: 0.0
data_Na2HBr
_chemical_formula_sum 'Na6 H3 Br3'
_cell_length_a 3.8593
_cell_length_b 3.8593
_cell_length_c 19.9090
_cell_angle_alpha 90.00
_cell_angle_beta 90.00
_cell_angle_gamma 120.00
_symmetry_space_group_name_H-M 'R 3 m'
_symmetry_Int_Tables_number 160
_symmetry_space_group_name_Hall 'R 3 -2"'
loop_
_atom_site_label
_atom_site_type_symbol
_atom_site_fract_x
_atom_site_fract_y
_atom_site_fract_z
Na1 Na 0.0000 0.0000 0.0000
Na2 Na 0.0000 0.0000 0.1921
H1 H 0.0000 0.0000 0.5988
Br1 Br 0.0000 0.0000 0.4280



3.
# Na5H4Br, relaxed, DFT PBE
# Magnetization, μB/f.u.: 0.0
data_Na5H4Br
_chemical_formula_sum 'Na10 H8 Br2'
_cell_length_a 11.538
_cell_length_b 3.571
_cell_length_c 9.387
_cell_angle_alpha 90.00
_cell_angle_beta 115.97
_cell_angle_gamma 90.00
_symmetry_space_group_name_H-M 'C 1 2/m 1'
_symmetry_Int_Tables_number 12
_symmetry_space_group_name_Hall '-C 2y'
loop_
_atom_site_label
_atom_site_type_symbol
_atom_site_fract_x
_atom_site_fract_y
_atom_site_fract_z
Na1 Na 0.000 0.000 0.000
Na2 Na 0.093 0.500 0.332
Na3 Na 0.212 0.000 0.829
H1 H 0.105 0.500 0.910
H2 H 0.175 0.000 0.246
Br1 Br 0.000 0.000 0.500



4.
# Na2HBr, relaxed, DFT PBE
# Energy above the lowest structure with this stoichiometry, meV per atom: 0
# Magnetization, μB/f.u.: 0.0
data_Na2HBr
_chemical_formula_sum 'Na8 H4 Br4'
_cell_length_a 6.611
_cell_length_b 4.025
_cell_length_c 12.475
_cell_angle_alpha 90.00
_cell_angle_beta 90.00
_cell_angle_gamma 90.00
_symmetry_space_group_name_H-M 'P n m a'
_symmetry_Int_Tables_number 62
_symmetry_space_group_name_Hall '-P 2ac 2n'
loop_
_atom_site_label
_atom_site_type_symbol
_atom_site_fract_x
_atom_site_fract_y
_atom_site_fract_z
Na1 Na 0.149 0.250 0.249
Na2 Na 0.191 0.250 0.526
H1 H 0.085 0.750 0.609
Br1 Br 0.100 0.250 0.865



5.
# NaH2Br2, relaxed, DFT PBE
# Energy above the lowest structure with this stoichiometry, meV per atom: 0
# Magnetization, μB/f.u.: 0.0
data_NaH2Br2
_chemical_formula_sum 'Na2 H4 Br4'
_cell_length_a 5.067
_cell_length_b 6.540
_cell_length_c 7.932
_cell_angle_alpha 90.00
_cell_angle_beta 90.00
_cell_angle_gamma 90.00
_symmetry_space_group_name_H-M 'I m m m'
_symmetry_Int_Tables_number 71
_symmetry_space_group_name_Hall '-I 2 2'
loop_
_atom_site_label
_atom_site_type_symbol
_atom_site_fract_x
_atom_site_fract_y
_atom_site_fract_z
Na1 Na 0.000 0.000 0.000
H1 H 0.000 0.500 0.052
Br1 Br 0.000 0.500 0.313



6.
# Na2H2Br, relaxed, DFT PBE
# Energy above the lowest structure with this stoichiometry, meV per atom: 206
# Magnetization, μB/f.u.: 0.0
data_Na2H2Br
_chemical_formula_sum 'Na4 H4 Br2'
_cell_length_a 3.602
_cell_length_b 3.602
_cell_length_c 13.152
_cell_angle_alpha 90.00
_cell_angle_beta 90.00
_cell_angle_gamma 90.00
_symmetry_space_group_name_H-M 'I 4/m m m'
_symmetry_Int_Tables_number 139
_symmetry_space_group_name_Hall '-I 4 2'
loop_
_atom_site_label
_atom_site_type_symbol
_atom_site_fract_x
_atom_site_fract_y
_atom_site_fract_z
Na1 Na 0.000 0.000 0.133
H1 H 0.000 0.500 0.250
Br1 Br 0.000 0.000 0.500



Result set for calculated total energy: -2.669 -2.699 -2.599 -2.770 -2.734 -2.464 eV per atom, one per record in the order listed.